! YTeBr | Alexandria via LeMat-Bulk | meta-GGA SCAN | single point on PBEsol structure; values from VASP
&SYSTEM
  ibrav = 0, nat = 3, ntyp = 3
/
ATOMIC_SPECIES
Y 88.91 Y.upf
Te 127.60 Te.upf
Br 79.90 Br.upf
CELL_PARAMETERS angstrom
4.199 0.000 0.000
-2.099 3.636 0.000
0.000 0.000 6.612
ATOMIC_POSITIONS angstrom
Y 2.099 1.212 2.200
Te 0.000 2.424 3.882
Br 0.000 0.000 0.530
! - E_tot (eV per atom) = -29.933
! - ρ (g cm⁻³) = 4.876
! - DOS(E_F) (states/eV per cell) = 0.00